Ba3TeO5: optimized geometry, PBE.

a b c (Å): 7.4915 7.4915 12.8447
angles (deg): 90.00 90.00 90.00
With the nearest neighbours (Å) after each atom.
Space group I4/mcm (No. 140)
One atom of each set of equivalent atoms:
Ba: 0.0000 0.0000 0.2500 (multiplicity 4)  10 O 3.13-3.21
Ba: 0.1824 0.3176 0.0000 (multiplicity 8)  4 O 2.62-2.74
Te: 0.0000 0.5000 0.2500 (multiplicity 4)  4 O 2.04
O: 0.0000 0.0000 0.0000 (multiplicity 4)  4 Ba 2.74
O: 0.1492 0.3508 0.3506 (multiplicity 16)  1 Te 2.04

## Properties
Volume ... 720.9 Å³/cell
Magnetic moment ... 0.0 μB per cell
Raw formation energy ... -2.000 eV per atom


TeRhC3: optimized geometry, PBE.

a b c (Å): 4.1107 4.1107 4.1107
angles (deg): 90.00 90.00 90.00
With the nearest neighbours (Å) after each atom.
Space group Pm-3m (No. 221)
One atom of each set of equivalent atoms:
Te: 0.0000 0.0000 0.0000 (multiplicity 1)  6 C 2.06
Rh: 0.5000 0.5000 0.5000 (multiplicity 1)  12 C 2.91
C: 0.0000 0.0000 0.5000 (multiplicity 3)  2 Te 2.06

## Properties
Volume ... 69.5 Å³/cell
Polymorph energy (0 for the lowest one) ... 844 meV per atom
Magnetic moment ... 0.0 μB per cell
Raw formation energy ... 3.075 eV per atom


Li2CaBe: optimized geometry, PBE.

a b c (Å): 3.5174 4.9934 9.5155
angles (deg): 90.00 90.00 90.00
With the nearest neighbours (Å) after each atom.
Space group Immm (No. 71)
One atom of each set of equivalent atoms:
Li: 0.0000 0.0000 0.2059 (multiplicity 4)  2 Be 2.63
Ca: 0.0000 0.5000 0.0000 (multiplicity 2)  4 Be 3.05, 8 Li 3.17-3.31
Be: 0.0000 0.5000 0.5000 (multiplicity 2)  4 Li 2.63

## Properties
Volume ... 167.1 Å³/cell
Energy of formation ... 100 kJ/mol of formula units
Magnetic moment ... 0.6 μB per cell